Record 1
La6PrSm2Ho (GGA-PBE, relaxed); crystal system = monoclinic; total moment = 0.0 Bohr magnetons per cell; raw total energy = -0.342 Ry/atom; DOS at the Fermi energy = 18.5 states/eV/f.u.
1.0
9.1136 0.0000 1.1374
0.0000 7.1293 0.0000
-2.3223 -3.5646 5.2716
La Ho Sm Pr
6 1 2 1
Cartesian
0.4071 -1.9218 3.5089
6.3842 5.4864 2.9001
3.2632 3.5646 1.8315
6.3842 1.6429 2.9001
0.4071 1.9218 3.5089
3.5281 0.0000 4.5775
4.5568 0.0000 0.5687
5.5863 3.5646 5.3672
1.2050 0.0000 1.0418
0.0000 3.5646 0.0000

---

Record 2
P2PdPtO (GGA-PBE, relaxed); crystal system = tetragonal; uncorrected formation energy = 0.64 eV per atom; total moment = 0.9 Bohr magnetons per cell; raw total energy = -0.350 Ry/atom; DOS at the Fermi energy = 3.4 states/eV/f.u.
1.0
4.7237 0.0000 0.0000
0.0000 4.7237 0.0000
0.0000 0.0000 3.7157
P Pt O Pd
2 1 1 1
Cartesian
0.0000 2.3619 0.0000
2.3619 0.0000 0.0000
2.3619 2.3619 1.8578
0.0000 0.0000 1.8578
0.0000 0.0000 0.0000